SrPrMn2O6 | GGA+U | optimized geometry

Results
**Calculated total energy**: -7.42 eV/atom
**N(E_F)**: 3.1 states/eV/cell
**Space group**: Pmn2_1 (31)
**Magnetic moment**: 7.0 μB/f.u.

a b c (Å): 5.543 5.552 7.779
angles (deg): 90.00 90.00 90.00
Each line ends with the local moment (μB).
Fractional positions:
Sr1 0.233 0.498 0.500  0.01
Sr2 0.767 0.998 0.000  0.01
Pr1 0.718 0.009 0.500  0.02
Pr2 0.282 0.509 0.000  0.02
Mn1 0.247 0.000 0.750  3.64
Mn2 0.753 0.500 0.250  3.64
Mn3 0.247 0.000 0.250  3.64
Mn4 0.753 0.500 0.750  3.64
O1 0.755 0.572 0.500  -0.08
O2 0.265 0.948 0.500  -0.07
O3 0.735 0.448 0.000  -0.07
O4 0.245 0.072 0.000  -0.08
O5 0.970 0.220 0.714  -0.07
O6 0.484 0.266 0.281  -0.07
O7 0.516 0.766 0.219  -0.07
O8 0.030 0.720 0.786  -0.07
O9 0.516 0.766 0.781  -0.07
O10 0.030 0.720 0.214  -0.07
O11 0.970 0.220 0.286  -0.07
O12 0.484 0.266 0.719  -0.07